--- 1 ---
ZrHIr2Ru: relaxed, PBE-GGA.

## Properties
DOS at the Fermi energy = 4.0 states/eV/cell
crystal system = tetragonal

Geometry as CIF:
```
data_ZrHIr2Ru
_space_group_name_H-M_alt 'P 4/m m m'
_space_group_IT_number 123
_space_group_name_Hall '-P 4 2'
_cell_length_a 4.007
_cell_length_b 4.007
_cell_length_c 4.053
_cell_angle_alpha 90.00
_cell_angle_beta 90.00
_cell_angle_gamma 90.00
loop_
_atom_site_label
_atom_site_type_symbol
_atom_site_fract_x
_atom_site_fract_y
_atom_site_fract_z
_atom_site_occupancy
Zr1 Zr 0.000 0.000 0.000 1
H1 H 0.500 0.500 0.500 1
Ir1 Ir 0.000 0.500 0.500 1
Ru1 Ru 0.500 0.500 0.000 1
```

--- 2 ---
ZrHIr2Ru: relaxed, PBE-GGA.

## Properties
DOS at the Fermi energy = 3.5 states/eV/cell
crystal system = tetragonal

Geometry as CIF:
```
data_ZrHIr2Ru
_space_group_name_H-M_alt 'P 4/m m m'
_space_group_IT_number 123
_space_group_name_Hall '-P 4 2'
_cell_length_a 3.949
_cell_length_b 3.949
_cell_length_c 4.182
_cell_angle_alpha 90.00
_cell_angle_beta 90.00
_cell_angle_gamma 90.00
loop_
_atom_site_label
_atom_site_type_symbol
_atom_site_fract_x
_atom_site_fract_y
_atom_site_fract_z
_atom_site_occupancy
Zr1 Zr 0.000 0.000 0.000 1
H1 H 0.000 0.000 0.500 1
Ir1 Ir 0.000 0.500 0.500 1
Ru1 Ru 0.500 0.500 0.000 1
```

Which one is most stable, and which one is least stable? 1 is the most stable of them, while 2 is the least stable.

--- 1 ---
SbHIr2: relaxed, PBE-GGA.

## Properties
DOS at the Fermi energy = 0.9 states/eV/cell
crystal system = cubic

Geometry as CIF:
```
data_SbHIr2
_space_group_name_H-M_alt 'F m -3 m'
_space_group_IT_number 225
_space_group_name_Hall '-F 4 2 3'
_cell_length_a 6.098
_cell_length_b 6.098
_cell_length_c 6.098
_cell_angle_alpha 90.00
_cell_angle_beta 90.00
_cell_angle_gamma 90.00
loop_
_atom_site_label
_atom_site_type_symbol
_atom_site_fract_x
_atom_site_fract_y
_atom_site_fract_z
_atom_site_occupancy
Sb1 Sb 0.000 0.000 0.000 1
H1 H 0.000 0.000 0.500 1
Ir1 Ir 0.250 0.250 0.250 1
```

--- 2 ---
SbHIr2: relaxed, PBE-GGA.

## Properties
DOS at the Fermi energy = 0.8 states/eV/cell
crystal system = tetragonal

Geometry as CIF:
```
data_SbHIr2
_space_group_name_H-M_alt 'I -4 2 d'
_space_group_IT_number 122
_space_group_name_Hall 'I -4 2bw'
_cell_length_a 5.122
_cell_length_b 5.122
_cell_length_c 9.006
_cell_angle_alpha 90.00
_cell_angle_beta 90.00
_cell_angle_gamma 90.00
loop_
_atom_site_label
_atom_site_type_symbol
_atom_site_fract_x
_atom_site_fract_y
_atom_site_fract_z
_atom_site_occupancy
Sb1 Sb 0.000 0.000 0.000 1
H1 H 0.000 0.000 0.500 1
Ir1 Ir 0.111 0.250 0.625 1
```

Which one is most stable, and which one is least stable? 2 is the most stable of them, while 1 is the least stable.

--- 1 ---
SbHIr3: relaxed, PBE-GGA.

## Properties
DOS at the Fermi energy = 2.6 states/eV/cell
crystal system = cubic

Geometry as CIF:
```
data_SbHIr3
_space_group_name_H-M_alt 'P m -3 m'
_space_group_IT_number 221
_space_group_name_Hall '-P 4 2 3'
_cell_length_a 4.046
_cell_length_b 4.046
_cell_length_c 4.046
_cell_angle_alpha 90.00
_cell_angle_beta 90.00
_cell_angle_gamma 90.00
loop_
_atom_site_label
_atom_site_type_symbol
_atom_site_fract_x
_atom_site_fract_y
_atom_site_fract_z
_atom_site_occupancy
Sb1 Sb 0.000 0.000 0.000 1
H1 H 0.500 0.500 0.500 1
Ir1 Ir 0.000 0.500 0.500 1
```

--- 2 ---
SbHIr3: relaxed, PBE-GGA.

## Properties
DOS at the Fermi energy = 12.6 states/eV/cell
crystal system = cubic

Geometry as CIF:
```
data_SbHIr3
_space_group_name_H-M_alt 'P m -3 m'
_space_group_IT_number 221
_space_group_name_Hall '-P 4 2 3'
_cell_length_a 4.907
_cell_length_b 4.907
_cell_length_c 4.907
_cell_angle_alpha 90.00
_cell_angle_beta 90.00
_cell_angle_gamma 90.00
loop_
_atom_site_label
_atom_site_type_symbol
_atom_site_fract_x
_atom_site_fract_y
_atom_site_fract_z
_atom_site_occupancy
Sb1 Sb 0.000 0.000 0.000 1
H1 H 0.500 0.500 0.500 1
Ir1 Ir 0.000 0.000 0.500 1
```

Which one is most stable, and which one is least stable? 1 is the most stable of them, while 2 is the least stable.

--- 1 ---
ScHIr2: relaxed, PBE-GGA.

## Properties
DOS at the Fermi energy = 12.6 states/eV/cell
crystal system = cubic

Geometry as CIF:
```
data_ScHIr2
_space_group_name_H-M_alt 'F m -3 m'
_space_group_IT_number 225
_space_group_name_Hall '-F 4 2 3'
_cell_length_a 6.052
_cell_length_b 6.052
_cell_length_c 6.052
_cell_angle_alpha 90.00
_cell_angle_beta 90.00
_cell_angle_gamma 90.00
loop_
_atom_site_label
_atom_site_type_symbol
_atom_site_fract_x
_atom_site_fract_y
_atom_site_fract_z
_atom_site_occupancy
Sc1 Sc 0.000 0.000 0.000 1
H1 H 0.000 0.000 0.500 1
Ir1 Ir 0.250 0.250 0.250 1
```

--- 2 ---
ScHIr2: relaxed, PBE-GGA.

## Properties
DOS at the Fermi energy = 4.9 states/eV/cell
crystal system = tetragonal

Geometry as CIF:
```
data_ScHIr2
_space_group_name_H-M_alt 'I -4 2 d'
_space_group_IT_number 122
_space_group_name_Hall 'I -4 2bw'
_cell_length_a 5.481
_cell_length_b 5.481
_cell_length_c 7.528
_cell_angle_alpha 90.00
_cell_angle_beta 90.00
_cell_angle_gamma 90.00
loop_
_atom_site_label
_atom_site_type_symbol
_atom_site_fract_x
_atom_site_fract_y
_atom_site_fract_z
_atom_site_occupancy
Sc1 Sc 0.000 0.000 0.000 1
H1 H 0.000 0.000 0.500 1
Ir1 Ir 0.070 0.250 0.625 1
```

Which one is most stable, and which one is least stable? 2 is the most stable of them, while 1 is the least stable.

--- 1 ---
Sc2H2Ir: relaxed, PBE-GGA.

## Properties
DOS at the Fermi energy = 2.1 states/eV/cell
crystal system = tetragonal

Geometry as CIF:
```
data_Sc2H2Ir
_space_group_name_H-M_alt 'P 4/m m m'
_space_group_IT_number 123
_space_group_name_Hall '-P 4 2'
_cell_length_a 3.137
_cell_length_b 3.137
_cell_length_c 6.330
_cell_angle_alpha 90.00
_cell_angle_beta 90.00
_cell_angle_gamma 90.00
loop_
_atom_site_label
_atom_site_type_symbol
_atom_site_fract_x
_atom_site_fract_y
_atom_site_fract_z
_atom_site_occupancy
Sc1 Sc 0.000 0.000 0.235 1
H1 H 0.000 0.500 0.000 1
Ir1 Ir 0.500 0.500 0.500 1
```

--- 2 ---
Sc2H2Ir: relaxed, PBE-GGA.

## Properties
DOS at the Fermi energy = 2.4 states/eV/cell
crystal system = tetragonal

Geometry as CIF:
```
data_Sc2H2Ir
_space_group_name_H-M_alt 'I 4/m m m'
_space_group_IT_number 139
_space_group_name_Hall '-I 4 2'
_cell_length_a 3.201
_cell_length_b 3.201
_cell_length_c 11.755
_cell_angle_alpha 90.00
_cell_angle_beta 90.00
_cell_angle_gamma 90.00
loop_
_atom_site_label
_atom_site_type_symbol
_atom_site_fract_x
_atom_site_fract_y
_atom_site_fract_z
_atom_site_occupancy
Sc1 Sc 0.000 0.000 0.141 1
H1 H 0.000 0.500 0.250 1
Ir1 Ir 0.000 0.000 0.500 1
```

--- 3 ---
Sc2H2Ir: relaxed, PBE-GGA.

## Properties
DOS at the Fermi energy = 7.4 states/eV/cell
crystal system = tetragonal

Geometry as CIF:
```
data_Sc2H2Ir
_space_group_name_H-M_alt 'P 4/m b m'
_space_group_IT_number 127
_space_group_name_Hall '-P 4 2ab'
_cell_length_a 6.418
_cell_length_b 6.418
_cell_length_c 2.980
_cell_angle_alpha 90.00
_cell_angle_beta 90.00
_cell_angle_gamma 90.00
loop_
_atom_site_label
_atom_site_type_symbol
_atom_site_fract_x
_atom_site_fract_y
_atom_site_fract_z
_atom_site_occupancy
Sc1 Sc 0.182 0.318 0.000 1
H1 H 0.119 0.619 0.500 1
Ir1 Ir 0.000 0.000 0.500 1
```

Which one is most stable, and which one is least stable? 2 is the most stable of them, while 3 is the least stable.

--- 1 ---
HIrSe: relaxed, PBE-GGA.

## Properties
DOS at the Fermi energy = 1.2 states/eV/cell
crystal system = monoclinic

Geometry as CIF:
```
data_HIrSe
_space_group_name_H-M_alt 'P 1 21/m 1'
_space_group_IT_number 11
_cell_length_a 4.097
_cell_length_b 3.623
_cell_length_c 6.546
_cell_angle_alpha 90.00
_cell_angle_beta 100.08
_cell_angle_gamma 90.00
loop_
_space_group_symop_operation_xyz
'x,y,z'
'-x,-y,-z'
'-x,y+1/2,-z'
'x,-y+1/2,z'
loop_
_atom_site_label
_atom_site_type_symbol
_atom_site_fract_x
_atom_site_fract_y
_atom_site_fract_z
_atom_site_occupancy
H1 H 0.106 0.250 0.231 1
Ir1 Ir 0.221 0.750 0.942 1
Se1 Se 0.381 0.250 0.725 1
```

--- 2 ---
HIrSe: relaxed, PBE-GGA.

## Properties
DOS at the Fermi energy = 0.1 states/eV/cell
crystal system = triclinic

Geometry as CIF:
```
data_HIrSe
_space_group_name_H-M_alt 'P 1'
_space_group_IT_number 1
_cell_length_a 3.520
_cell_length_b 4.092
_cell_length_c 6.834
_cell_angle_alpha 91.52
_cell_angle_beta 90.35
_cell_angle_gamma 90.00
loop_
_space_group_symop_operation_xyz
'x,y,z'
loop_
_atom_site_label
_atom_site_type_symbol
_atom_site_fract_x
_atom_site_fract_y
_atom_site_fract_z
_atom_site_occupancy
H1 H 0.000 0.000 0.000 1
H2 H 0.494 0.476 0.468 1
Ir1 Ir 0.496 0.699 0.665 1
Ir2 Ir 0.998 0.205 0.802 1
Se1 Se 0.500 0.486 0.990 1
Se2 Se 0.994 0.964 0.478 1
```

--- 3 ---
HIrSe: relaxed, PBE-GGA.

## Properties
DOS at the Fermi energy = 1.7 states/eV/cell
crystal system = monoclinic

Geometry as CIF:
```
data_HIrSe
_space_group_name_H-M_alt 'P 1 21/c 1'
_space_group_IT_number 14
_cell_length_a 6.558
_cell_length_b 5.665
_cell_length_c 5.714
_cell_angle_alpha 90.00
_cell_angle_beta 112.43
_cell_angle_gamma 90.00
loop_
_space_group_symop_operation_xyz
'x,y,z'
'-x,-y,-z'
'-x,y+1/2,-z+1/2'
'x,-y+1/2,z+1/2'
loop_
_atom_site_label
_atom_site_type_symbol
_atom_site_fract_x
_atom_site_fract_y
_atom_site_fract_z
_atom_site_occupancy
H1 H 0.146 0.056 0.216 1
Ir1 Ir 0.031 0.695 0.791 1
Se1 Se 0.287 0.545 0.210 1
```

Which one is most stable, and which one is least stable? 2 is the most stable of them, while 1 is the least stable.